[1]
{
  "formula": "Os3RuAu",
  "functional": "meta-GGA SCAN",
  "state": "PBEsol geometry",
  "lattice_angstrom": [[4.579, 0.000, 0.000], [0.000, 4.579, 0.000], [0.000, 0.000, 4.579]],
  "species": ["Os", "Os", "Os", "Au", "Ru"],
  "fractional_positions": [[0.000, 0.500, 0.000], [0.000, 0.000, 0.500], [0.500, 0.000, 0.000], [0.500, 0.500, 0.500], [0.000, 0.000, 0.000]],
  "n_ef_per_ev_atom": 1.025,
  "mass_density_kg_m3": 15023,
  "magmom_total_mub_per_cell": 1.23,
  "energy_ev_per_cell": -307.21
}


[2]
{
  "formula": "OsRuAu2",
  "functional": "meta-GGA SCAN",
  "state": "PBEsol geometry",
  "lattice_angstrom": [[4.438, 0.000, 0.000], [2.219, 3.843, 0.000], [2.219, 1.281, 3.623]],
  "species": ["Au", "Au", "Os", "Ru"],
  "fractional_positions": [[0.000, 0.000, 0.000], [0.750, 0.750, 0.750], [0.500, 0.500, 0.500], [0.250, 0.250, 0.250]],
  "n_ef_per_ev_atom": 0.764,
  "mass_density_kg_m3": 18415,
  "e_above_lowest_polymorph_mev_per_atom": 65,
  "magmom_total_mub_per_cell": 2.75,
  "energy_ev_per_cell": -242.10
}


[3]
{
  "formula": "OsRuAu2",
  "functional": "meta-GGA SCAN",
  "state": "PBEsol geometry",
  "lattice_angstrom": [[-0.384, -1.157, -2.463], [2.978, -3.414, 1.139], [-4.945, -0.301, 2.446]],
  "species": ["Au", "Au", "Os", "Ru"],
  "fractional_positions": [[0.750, 0.750, 0.501], [0.250, 0.250, 0.499], [0.500, 0.000, 0.000], [0.000, 0.500, 0.000]],
  "n_ef_per_ev_atom": 0.671,
  "mass_density_kg_m3": 18405,
  "e_above_lowest_polymorph_mev_per_atom": 0,
  "magmom_total_mub_per_cell": 1.92,
  "energy_ev_per_cell": -242.36
}


[4]
{
  "formula": "SbOsAu",
  "functional": "meta-GGA SCAN",
  "state": "PBEsol geometry",
  "lattice_angstrom": [[-4.025, 1.609, -0.853], [-2.910, 0.526, 3.282], [-1.089, 4.061, 1.356]],
  "species": ["Au", "Os", "Sb"],
  "fractional_positions": [[0.250, 0.250, 0.250], [0.000, 0.000, 0.000], [0.500, 0.500, 0.500]],
  "formation_energy_uncorrected_ev_per_atom": 1.1338,
  "n_ef_per_ev_atom": 0.764,
  "mass_density_kg_m3": 13865,
  "e_above_lowest_polymorph_mev_per_atom": 477,
  "magmom_total_mub_per_cell": 1.43,
  "energy_ev_per_cell": -174.90
}